[1]
A relaxed Ac6Rh3BrCl2 crystal, computed with GGA-PBE.

- Raw formation energy: -1.228 eV/atom
- Total energy: -5.5671 eV/atom

a b c (Å): 20.4991 4.3158 9.5428
angles (deg): 90.00 111.04 90.00
Space group C2/m (No. 12)
Inequivalent atoms, fractional coordinates:
Ac1 0.0114 0.0000 0.2198 (multiplicity 4)
Ac2 0.1565 0.5000 0.1091 (multiplicity 4)
Ac3 0.1784 0.5000 0.5552 (multiplicity 4)
Rh1 0.0000 0.5000 0.0000 (multiplicity 2)
Rh2 0.1668 0.0000 0.3317 (multiplicity 4)
Br1 0.0000 0.5000 0.5000 (multiplicity 2)
Cl1 0.1670 0.0000 0.8335 (multiplicity 4)

---

[2]
A relaxed Ac6Rh2Br3Cl crystal, computed with GGA-PBE.

- Raw formation energy: -1.192 eV/atom
- Total energy: -5.0431 eV/atom

a b c (Å): 7.7262 13.3511 8.5201
angles (deg): 90.00 107.49 90.00
Space group C2/m (No. 12)
Inequivalent atoms, fractional coordinates:
Ac1 0.2042 0.0000 0.1993 (multiplicity 4)
Ac2 0.2504 0.1815 0.7983 (multiplicity 8)
Rh1 0.0000 0.1672 0.0000 (multiplicity 4)
Br1 0.0000 0.0000 0.5000 (multiplicity 2)
Br2 0.0000 0.3399 0.5000 (multiplicity 4)
Cl1 0.0000 0.5000 0.0000 (multiplicity 2)

---

[3]
A relaxed Ac6Ru2BrCl3 crystal, computed with GGA-PBE.

- Raw formation energy: -1.108 eV/atom
- Total energy: -5.3092 eV/atom

a b c (Å): 7.7131 13.3688 8.3425
angles (deg): 90.00 107.73 90.00
Space group C2/m (No. 12)
Inequivalent atoms, fractional coordinates:
Ac1 0.1970 0.0000 0.2087 (multiplicity 4)
Ac2 0.2445 0.1857 0.7904 (multiplicity 8)
Ru1 0.0000 0.1664 0.0000 (multiplicity 4)
Br1 0.0000 0.5000 0.0000 (multiplicity 2)
Cl1 0.0000 0.0000 0.5000 (multiplicity 2)
Cl2 0.0000 0.3306 0.5000 (multiplicity 4)

---

[4]
A relaxed Ac3RuBrCl crystal, computed with GGA-PBE.

- Raw formation energy: -1.063 eV/atom
- Total energy: -5.2497 eV/atom

a b c (Å): 9.9386 4.3362 10.3261
angles (deg): 90.00 93.97 90.00
Space group P2_1/m (No. 11)
Inequivalent atoms, fractional coordinates:
Ac1 0.0799 0.2500 0.3541 (multiplicity 2)
Ac2 0.1596 0.2500 0.9231 (multiplicity 2)
Ac3 0.3289 0.7500 0.6412 (multiplicity 2)
Ru1 0.1266 0.2500 0.6521 (multiplicity 2)
Br1 0.3930 0.7500 0.3411 (multiplicity 2)
Cl1 0.3732 0.7500 0.9303 (multiplicity 2)

---

[5]
A relaxed Ac6Ru2Br3Cl crystal, computed with GGA-PBE.

- Raw formation energy: -1.065 eV/atom
- Total energy: -5.2377 eV/atom

a b c (Å): 7.6317 13.2269 8.6774
angles (deg): 90.00 106.88 90.00
Space group C2/m (No. 12)
Inequivalent atoms, fractional coordinates:
Ac1 0.2027 0.0000 0.1978 (multiplicity 4)
Ac2 0.2474 0.3187 0.1987 (multiplicity 8)
Ru1 0.0000 0.1665 0.0000 (multiplicity 4)
Br1 0.0000 0.0000 0.5000 (multiplicity 2)
Br2 0.0000 0.3316 0.5000 (multiplicity 4)
Cl1 0.0000 0.5000 0.0000 (multiplicity 2)

---

[6]
A relaxed Ac4RuBr2Cl crystal, computed with GGA-PBE.

- Raw formation energy: -1.066 eV/atom
- Total energy: -4.9286 eV/atom

a b c (Å): 7.9523 4.2893 8.5254
angles (deg): 90.00 107.18 90.00
Space group P2/m (No. 10)
Inequivalent atoms, fractional coordinates:
Ac1 0.2058 0.0000 0.1989 (multiplicity 2)
Ac2 0.2403 0.5000 0.7939 (multiplicity 2)
Ru1 0.0000 0.5000 0.0000 (multiplicity 1)
Br1 0.0000 0.0000 0.5000 (multiplicity 1)
Br2 0.5000 0.5000 0.5000 (multiplicity 1)
Cl1 0.5000 0.0000 0.0000 (multiplicity 1)

---

[7]
A relaxed Ac4Si2BrCl crystal, computed with GGA-PBE.

- Raw formation energy: -1.020 eV/atom
- Total energy: -4.8703 eV/atom

a b c (Å): 9.0243 9.0315 12.5820
angles (deg): 90.00 90.00 90.00
Space group Fmmm (No. 69)
Inequivalent atoms, fractional coordinates:
Ac1 0.0000 0.0000 0.2465 (multiplicity 8)
Ac2 0.2500 0.2500 0.0000 (multiplicity 8)
Si1 0.2500 0.2500 0.2500 (multiplicity 8)
Br1 0.0000 0.0000 0.5000 (multiplicity 4)
Cl1 0.0000 0.0000 0.0000 (multiplicity 4)

---

[8]
A relaxed Ac4TcBr2Cl crystal, computed with GGA-PBE.

- Raw formation energy: -0.926 eV/atom
- Total energy: -4.9253 eV/atom

a b c (Å): 7.9225 4.3148 8.4652
angles (deg): 90.00 105.79 90.00
Space group P2/m (No. 10)
Inequivalent atoms, fractional coordinates:
Ac1 0.2096 0.0000 0.2010 (multiplicity 2)
Ac2 0.2367 0.5000 0.7922 (multiplicity 2)
Tc1 0.0000 0.5000 0.0000 (multiplicity 1)
Br1 0.0000 0.0000 0.5000 (multiplicity 1)
Br2 0.5000 0.5000 0.5000 (multiplicity 1)
Cl1 0.5000 0.0000 0.0000 (multiplicity 1)

---

[9]
A relaxed AcTl2Br3Cl3 crystal, computed with GGA-PBE.

- Raw formation energy: -1.405 eV/atom
- Total energy: -3.5605 eV/atom

a b c (Å): 8.3613 8.3613 4.4384
angles (deg): 90.00 90.00 120.00
Space group P-62m (No. 189)
Inequivalent atoms, fractional coordinates:
Ac1 0.0000 0.0000 0.0000 (multiplicity 1)
Tl1 0.3333 0.6667 0.5000 (multiplicity 2)
Br1 0.0000 0.4008 0.0000 (multiplicity 3)
Cl1 0.0000 0.7595 0.5000 (multiplicity 3)

---

[10]
A relaxed AcCoBr2 crystal, computed with GGA-PBE.

- Raw formation energy: -0.306 eV/atom
- Total energy: -3.9459 eV/atom

a b c (Å): 4.0421 4.0421 26.0474
angles (deg): 90.00 90.00 120.00
Space group R-3m (No. 166, hexagonal axes)
Inequivalent atoms, fractional coordinates:
Ac1 0.0000 0.0000 0.0000 (multiplicity 3)
Co1 0.0000 0.0000 0.5000 (multiplicity 3)
Br1 0.0000 0.0000 0.1175 (multiplicity 6)

---

[11]
A relaxed Ac5Co2Br2 crystal, computed with GGA-PBE.

- Raw formation energy: -0.524 eV/atom
- Total energy: -4.7577 eV/atom

a b c (Å): 8.5868 8.6363 8.4368
angles (deg): 90.00 110.77 90.00
Space group P2_1/c (No. 14)
Inequivalent atoms, fractional coordinates:
Ac1 0.0000 0.0000 0.0000 (multiplicity 2)
Ac2 0.1748 0.1252 0.6724 (multiplicity 4)
Ac3 0.3011 0.6971 0.9273 (multiplicity 4)
Co1 0.0522 0.6960 0.1579 (multiplicity 4)
Br1 0.4138 0.0350 0.1666 (multiplicity 4)

---

[12]
A relaxed Ac4CoBr5 crystal, computed with GGA-PBE.

- Raw formation energy: -1.353 eV/atom
- ΔE to the lowest computed polymorph: 14 meV/atom
- Total energy: -4.5437 eV/atom

a b c (Å): 19.8414 4.2794 9.1694
angles (deg): 90.00 98.46 90.00
Space group C2/m (No. 12)
Inequivalent atoms, fractional coordinates:
Ac1 0.0039 0.0000 0.2139 (multiplicity 4)
Ac2 0.1510 0.5000 0.0397 (multiplicity 4)
Co1 0.0000 0.5000 0.0000 (multiplicity 2)
Br1 0.0000 0.5000 0.5000 (multiplicity 2)
Br2 0.1644 0.0000 0.7872 (multiplicity 4)
Br3 0.1684 0.0000 0.2964 (multiplicity 4)

---

[13]
A relaxed Ac6Co3Br crystal, computed with GGA-PBE.

- Raw formation energy: -0.259 eV/atom
- Total energy: -5.0232 eV/atom

a b c (Å): 11.9172 4.1729 14.6840
angles (deg): 90.00 113.66 90.00
Space group P2_1/m (No. 11)
Inequivalent atoms, fractional coordinates:
Ac1 0.0212 0.2500 0.2752 (multiplicity 2)
Ac2 0.1398 0.2500 0.0772 (multiplicity 2)
Ac3 0.1633 0.2500 0.5742 (multiplicity 2)
Ac4 0.2704 0.2500 0.8655 (multiplicity 2)
Ac5 0.3494 0.7500 0.4198 (multiplicity 2)
Ac6 0.4562 0.7500 0.7158 (multiplicity 2)
Co1 0.0049 0.2500 0.8683 (multiplicity 2)
Co2 0.2172 0.7500 0.7206 (multiplicity 2)
Co3 0.3995 0.2500 0.5661 (multiplicity 2)
Br1 0.3953 0.7500 0.0745 (multiplicity 2)

---

[14]
A relaxed Ac4Co2Br5 crystal, computed with GGA-PBE.

- Raw formation energy: -1.108 eV/atom
- Total energy: -4.6544 eV/atom

a b c (Å): 4.3137 8.9070 19.4090
angles (deg): 90.00 90.00 90.00
Space group Immm (No. 71)
Inequivalent atoms, fractional coordinates:
Ac1 0.0000 0.0000 0.1816 (multiplicity 4)
Ac2 0.0000 0.2864 0.5000 (multiplicity 4)
Co1 0.0000 0.0000 0.0544 (multiplicity 4)
Br1 0.0000 0.2287 0.3276 (multiplicity 8)
Br2 0.0000 0.5000 0.0000 (multiplicity 2)

---

[15]
A relaxed Ac4CoBr5 crystal, computed with GGA-PBE.

- Raw formation energy: -1.367 eV/atom
- ΔE to the lowest computed polymorph: 0 meV/atom
- Total energy: -4.5573 eV/atom

a b c (Å): 20.3491 4.2636 9.1735
angles (deg): 90.00 106.34 90.00
Space group C2/m (No. 12)
Inequivalent atoms, fractional coordinates:
Ac1 0.0029 0.0000 0.2898 (multiplicity 4)
Ac2 0.1517 0.5000 0.6091 (multiplicity 4)
Co1 0.0000 0.5000 0.5000 (multiplicity 2)
Br1 0.0000 0.5000 0.0000 (multiplicity 2)
Br2 0.1648 0.0000 0.8691 (multiplicity 4)
Br3 0.1748 0.0000 0.3619 (multiplicity 4)

---

[16]
A relaxed CsAcCo2Br8 crystal, computed with GGA-PBE.

- Raw formation energy: -1.101 eV/atom
- Total energy: -3.8137 eV/atom

a b c (Å): 7.0521 7.0521 31.6118
angles (deg): 90.00 90.00 120.00
Space group R-3 (No. 148, hexagonal axes)
Inequivalent atoms, fractional coordinates:
Cs1 0.0000 0.0000 0.0000 (multiplicity 3)
Ac1 0.0000 0.0000 0.5000 (multiplicity 3)
Co1 0.0000 0.0000 0.2495 (multiplicity 6)
Br1 0.0000 0.0000 0.3232 (multiplicity 6)
Br2 0.0003 0.3508 0.4427 (multiplicity 18)

---

[17]
A relaxed Ac6Ga2CoBr3 crystal, computed with GGA-PBE.

- Raw formation energy: -0.809 eV/atom
- Total energy: -4.3779 eV/atom

a b c (Å): 8.0026 13.3812 8.1949
angles (deg): 90.00 108.73 90.00
Space group C2/m (No. 12)
Inequivalent atoms, fractional coordinates:
Ac1 0.2236 0.1544 0.2039 (multiplicity 8)
Ac2 0.2360 0.0000 0.7797 (multiplicity 4)
Ga1 0.0000 0.3377 0.0000 (multiplicity 4)
Co1 0.0000 0.0000 0.0000 (multiplicity 2)
Br1 0.0000 0.1808 0.5000 (multiplicity 4)
Br2 0.0000 0.5000 0.5000 (multiplicity 2)

---

[18]
A relaxed Ac6GaCo2Br3 crystal, computed with GGA-PBE.

- Raw formation energy: -0.776 eV/atom
- Total energy: -4.6854 eV/atom

a b c (Å): 7.5854 13.1523 8.5502
angles (deg): 90.00 107.28 90.00
Space group C2/m (No. 12)
Inequivalent atoms, fractional coordinates:
Ac1 0.2071 0.0000 0.1967 (multiplicity 4)
Ac2 0.2446 0.3205 0.1964 (multiplicity 8)
Ga1 0.0000 0.5000 0.0000 (multiplicity 2)
Co1 0.0000 0.1668 0.0000 (multiplicity 4)
Br1 0.0000 0.0000 0.5000 (multiplicity 2)
Br2 0.0000 0.3367 0.5000 (multiplicity 4)

---

[19]
A relaxed Ac4CoGeBr2 crystal, computed with GGA-PBE.

- Raw formation energy: -0.892 eV/atom
- Total energy: -4.8299 eV/atom

a b c (Å): 7.9353 4.3373 8.3077
angles (deg): 90.00 106.21 90.00
Space group P2/m (No. 10)
Inequivalent atoms, fractional coordinates:
Ac1 0.2137 0.0000 0.1949 (multiplicity 2)
Ac2 0.2446 0.5000 0.7985 (multiplicity 2)
Co1 0.0000 0.5000 0.0000 (multiplicity 1)
Ge1 0.5000 0.0000 0.0000 (multiplicity 1)
Br1 0.0000 0.0000 0.5000 (multiplicity 1)
Br2 0.5000 0.5000 0.5000 (multiplicity 1)

---

[20]
A relaxed Ac8CoGe3Br3 crystal, computed with GGA-PBE.

- Raw formation energy: -0.840 eV/atom
- Total energy: -4.7634 eV/atom

a b c (Å): 9.1853 9.1853 22.4218
angles (deg): 90.00 90.00 120.00
Space group R-3m (No. 166, hexagonal axes)
Inequivalent atoms, fractional coordinates:
Ac1 0.0000 0.0000 0.2420 (multiplicity 6)
Ac2 0.0199 0.5099 0.2361 (multiplicity 18)
Co1 0.0000 0.0000 0.5000 (multiplicity 3)
Ge1 0.0000 0.5000 0.5000 (multiplicity 9)
Br1 0.0000 0.5000 0.0000 (multiplicity 9)

---

[21]
A relaxed Ac8CoGe3Br4 crystal, computed with GGA-PBE.

- Raw formation energy: -1.009 eV/atom
- Total energy: -4.7912 eV/atom

a b c (Å): 15.8043 9.1177 9.2986
angles (deg): 90.00 124.55 90.00
Space group C2/m (No. 12)
Inequivalent atoms, fractional coordinates:
Ac1 0.0096 0.2353 0.2935 (multiplicity 8)
Ac2 0.2266 0.0000 0.7073 (multiplicity 4)
Ac3 0.2404 0.5000 0.7212 (multiplicity 4)
Co1 0.0000 0.0000 0.5000 (multiplicity 2)
Ge1 0.0000 0.5000 0.5000 (multiplicity 2)
Ge2 0.2500 0.2500 0.5000 (multiplicity 4)
Br1 0.0000 0.0000 0.0000 (multiplicity 2)
Br2 0.0000 0.5000 0.0000 (multiplicity 2)
Br3 0.2500 0.2500 0.0000 (multiplicity 4)